Record 1
Crystalline Zr2Tl2Bi at its relaxed geometry. Source: Alexandria via LeMat-Bulk, functional PBE.

a = 8.9203 Å, b = 8.9203 Å, c = 3.2778 Å
α = 90.00°, β = 90.00°, γ = 90.00°
With the nearest neighbours (Å) after each atom.
Positions (direct):
Zr: 0.6267 0.8733 0.5000  6 Tl 3.06-3.13, 3 Zr 3.20-3.28
Tl: 0.3310 0.8310 0.0000  6 Zr 3.06-3.13, 2 Tl 3.28, 2 Bi 3.32
Tl: 0.8310 0.6690 0.0000  6 Zr 3.06-3.13, 2 Tl 3.28, 2 Bi 3.32
Tl: 0.6690 0.1690 0.0000  6 Zr 3.06-3.13, 2 Tl 3.28, 2 Bi 3.32
Zr: 0.8733 0.3733 0.5000  6 Tl 3.06-3.13, 3 Zr 3.20-3.28
Bi: 0.5000 0.5000 0.0000  2 Bi 3.28, 4 Tl 3.32
Bi: 0.0000 0.0000 0.0000  2 Bi 3.28, 4 Tl 3.32
Tl: 0.1690 0.3310 0.0000  6 Zr 3.06-3.13, 2 Tl 3.28, 2 Bi 3.32
Zr: 0.3733 0.1267 0.5000  6 Tl 3.06-3.13, 3 Zr 3.20-3.28
Zr: 0.1267 0.6267 0.5000  6 Tl 3.06-3.13, 3 Zr 3.20-3.28

energy relative to the elements = 0.125 eV per atom
D(E_F) = 0.64 states/eV/atom



Record 2
Crystalline ZrTlBi2 at its relaxed geometry. Source: Alexandria via LeMat-Bulk, functional PBE.

a = 6.9981 Å, b = 6.9981 Å, c = 8.5108 Å
α = 65.72°, β = 65.72°, γ = 90.00°
With the nearest neighbours (Å) after each atom.
Positions (direct):
Bi: 0.5896 0.1250 0.2500  2 Zr 2.88, 2 Tl 3.17
Zr: 0.2500 0.7500 0.5000  4 Bi 2.88
Bi: 0.1604 0.6250 0.2500  2 Zr 2.88, 2 Tl 3.17
Zr: 0.5000 0.5000 0.0000  4 Bi 2.88
Tl: 0.7500 0.2500 0.5000  4 Bi 3.17
Bi: 0.3750 0.4104 0.7500  2 Zr 2.88, 2 Tl 3.17
Tl: 0.0000 0.0000 0.0000  4 Bi 3.17
Bi: 0.8750 0.8396 0.7500  2 Zr 2.88, 2 Tl 3.17

energy relative to the elements = 0.254 eV per atom
D(E_F) = 1.39 states/eV/atom



Record 3
Crystalline Zr5TlBi2 at its relaxed geometry. Source: Alexandria via LeMat-Bulk, functional PBE.

a = 4.9757 Å, b = 6.2692 Å, c = 12.0520 Å
α = 90.00°, β = 90.00°, γ = 90.00°
With the nearest neighbours (Å) after each atom.
Positions (direct):
Zr: 0.0000 0.8667 0.2593  5 Zr 3.02-3.24, 4 Bi 3.17-3.27, 1 Tl 3.24
Bi: 0.5000 0.1477 0.3573  10 Zr 3.05-3.27
Bi: 0.5000 0.3523 0.8573  10 Zr 3.05-3.27
Zr: 0.5000 0.6628 0.3956  2 Tl 2.97, 4 Bi 3.05-3.26, 3 Zr 3.24
Tl: 0.0000 0.5000 0.5000  8 Zr 2.97-3.24
Zr: 0.5000 0.3372 0.6044  2 Tl 2.97, 4 Bi 3.05-3.26, 3 Zr 3.24
Tl: 0.0000 0.0000 0.0000  8 Zr 2.97-3.24
Zr: 0.0000 0.0000 0.5000  2 Zr 3.02, 2 Tl 3.13, 4 Bi 3.16
Zr: 0.0000 0.1333 0.7407  5 Zr 3.02-3.24, 4 Bi 3.17-3.27, 1 Tl 3.24
Bi: 0.5000 0.6477 0.1427  10 Zr 3.05-3.27
Zr: 0.0000 0.6333 0.7593  5 Zr 3.02-3.24, 4 Bi 3.17-3.27, 1 Tl 3.24
Zr: 0.5000 0.1628 0.1044  2 Tl 2.97, 4 Bi 3.05-3.26, 3 Zr 3.24
Zr: 0.5000 0.8372 0.8956  2 Tl 2.97, 4 Bi 3.05-3.26, 3 Zr 3.24
Zr: 0.0000 0.3667 0.2407  5 Zr 3.02-3.24, 4 Bi 3.17-3.27, 1 Tl 3.24
Bi: 0.5000 0.8523 0.6427  10 Zr 3.05-3.27
Zr: 0.0000 0.5000 0.0000  2 Zr 3.02, 2 Tl 3.13, 4 Bi 3.16

energy relative to the elements = -0.220 eV per atom
D(E_F) = 0.72 states/eV/atom



What did the third record say?
Crystalline Zr5TlBi2 at its relaxed geometry. Source: Alexandria via LeMat-Bulk, functional PBE.

a = 4.9757 Å, b = 6.2692 Å, c = 12.0520 Å
α = 90.00°, β = 90.00°, γ = 90.00°
With the nearest neighbours (Å) after each atom.
Positions (direct):
Zr: 0.0000 0.8667 0.2593  5 Zr 3.02-3.24, 4 Bi 3.17-3.27, 1 Tl 3.24
Bi: 0.5000 0.1477 0.3573  10 Zr 3.05-3.27
Bi: 0.5000 0.3523 0.8573  10 Zr 3.05-3.27
Zr: 0.5000 0.6628 0.3956  2 Tl 2.97, 4 Bi 3.05-3.26, 3 Zr 3.24
Tl: 0.0000 0.5000 0.5000  8 Zr 2.97-3.24
Zr: 0.5000 0.3372 0.6044  2 Tl 2.97, 4 Bi 3.05-3.26, 3 Zr 3.24
Tl: 0.0000 0.0000 0.0000  8 Zr 2.97-3.24
Zr: 0.0000 0.0000 0.5000  2 Zr 3.02, 2 Tl 3.13, 4 Bi 3.16
Zr: 0.0000 0.1333 0.7407  5 Zr 3.02-3.24, 4 Bi 3.17-3.27, 1 Tl 3.24
Bi: 0.5000 0.6477 0.1427  10 Zr 3.05-3.27
Zr: 0.0000 0.6333 0.7593  5 Zr 3.02-3.24, 4 Bi 3.17-3.27, 1 Tl 3.24
Zr: 0.5000 0.1628 0.1044  2 Tl 2.97, 4 Bi 3.05-3.26, 3 Zr 3.24
Zr: 0.5000 0.8372 0.8956  2 Tl 2.97, 4 Bi 3.05-3.26, 3 Zr 3.24
Zr: 0.0000 0.3667 0.2407  5 Zr 3.02-3.24, 4 Bi 3.17-3.27, 1 Tl 3.24
Bi: 0.5000 0.8523 0.6427  10 Zr 3.05-3.27
Zr: 0.0000 0.5000 0.0000  2 Zr 3.02, 2 Tl 3.13, 4 Bi 3.16

energy relative to the elements = -0.220 eV per atom
D(E_F) = 0.72 states/eV/atom



Question: The highest D(E_F) belongs to which entry?
Answer: ZrTlBi2



Question: Which of these has the highest energy relative to the elements?
Answer: ZrTlBi2



Question: The lowest energy relative to the elements belongs to which entry?
Answer: Zr5TlBi2